[1]
Material: SbHPd2
Method: DFT, PBE
State: optimized geometry

Calculated values
E above lowest polymorph = 0.158 eV/f.u.

Cell lengths 5.310, 5.310, 8.791 Å; angles 90.00, 90.00, 90.00 degrees
Space group I-42d (No. 122)
Unique sites:
Sb  0.000  0.000  0.000 (multiplicity 4)
H  0.000  0.000  0.500 (multiplicity 4)
Pd  0.117  0.250  0.625 (multiplicity 8)



[2]
Material: SbHPd2
Method: DFT, PBE
State: optimized geometry

Calculated values
E above lowest polymorph = 0.223 eV/f.u.

Cell lengths 5.008, 5.014, 5.166 Å; angles 90.00, 118.93, 90.00 degrees
Space group C2 (No. 5)
Unique sites:
Sb  0.000  0.000  0.000 (multiplicity 2)
H  0.000  0.749  0.500 (multiplicity 2)
Pd  0.164  0.501  0.327 (multiplicity 4)



[3]
Material: Sb2HPd3
Method: DFT, PBE
State: optimized geometry

Calculated values
Electronic total energy = -4.7085 eV/atom

Cell lengths 6.857, 12.420, 5.622 Å; angles 90.00, 122.21, 90.00 degrees
Space group C2/c (No. 15)
Unique sites:
Sb  0.000  0.056  0.250 (multiplicity 4)
Sb  0.000  0.234  0.750 (multiplicity 4)
H  0.000  0.486  0.750 (multiplicity 4)
Pd  0.130  0.409  0.091 (multiplicity 8)
Pd  0.250  0.250  0.500 (multiplicity 4)



[4]
Material: SbH2Pd2
Method: DFT, PBE
State: optimized geometry

Calculated values
E above lowest polymorph = 1.300 eV/f.u.

Cell lengths 7.029, 7.029, 2.898 Å; angles 90.00, 90.00, 90.00 degrees
Space group P4/mbm (No. 127)
Unique sites:
Sb  0.000  0.000  0.000 (multiplicity 2)
H  0.048  0.452  0.500 (multiplicity 4)
Pd  0.142  0.642  0.000 (multiplicity 4)



[5]
Material: Sb5H2Pd12
Method: DFT, PBE
State: optimized geometry

Calculated values
Electronic total energy = -4.9576 eV/atom

Cell lengths 13.826, 5.794, 8.512 Å; angles 90.00, 102.40, 90.00 degrees
Space group C2/m (No. 12)
Unique sites:
Sb  0.000  0.000  0.000 (multiplicity 2)
Sb  0.172  0.500  0.883 (multiplicity 4)
Sb  0.211  0.500  0.404 (multiplicity 4)
H  0.000  0.193  0.500 (multiplicity 4)
Pd  0.018  0.500  0.270 (multiplicity 4)
Pd  0.036  0.000  0.325 (multiplicity 4)
Pd  0.130  0.250  0.608 (multiplicity 8)
Pd  0.163  0.241  0.138 (multiplicity 8)



[6]
Material: Sb3H5Pd12
Method: DFT, PBE
State: optimized geometry

Calculated values
Electronic total energy = -4.8201 eV/atom

Cell lengths 13.035, 13.035, 13.035 Å; angles 90.00, 90.00, 90.00 degrees
Space group Ia-3d (No. 230)
Unique sites:
Sb  0.000  0.250  0.125 (multiplicity 24)
H  0.000  0.000  0.000 (multiplicity 16)
H  0.000  0.250  0.375 (multiplicity 24)
Pd  0.042  0.049  0.644 (multiplicity 96)



[7]
Material: SbH4Pd8
Method: DFT, PBE
State: optimized geometry

Calculated values
Electronic total energy = -4.5340 eV/atom

Cell lengths 5.7022, 5.7022, 18.9899 Å; angles 90.00, 90.00, 120.00 degrees
Space group R-3m (No. 166, hexagonal axes)
Unique sites:
Sb  0.0000  0.0000  0.0000 (multiplicity 3)
H  0.0000  0.0000  0.5000 (multiplicity 3)
H  0.0000  0.5000  0.5000 (multiplicity 9)
Pd  0.0000  0.0000  0.2356 (multiplicity 6)
Pd  0.0031  0.5016  0.2285 (multiplicity 18)



[8]
Material: SbH2Pd4
Method: DFT, PBE
State: optimized geometry

Calculated values
E above lowest polymorph = 0.199 eV/f.u.

Cell lengths 8.431, 6.848, 7.478 Å; angles 90.00, 120.24, 90.00 degrees
Space group C2 (No. 5)
Unique sites:
Sb  0.000  0.000  0.000 (multiplicity 2)
Sb  0.000  0.151  0.500 (multiplicity 2)
H  0.059  0.550  0.817 (multiplicity 4)
H  0.173  0.747  0.605 (multiplicity 4)
Pd  0.011  0.811  0.318 (multiplicity 4)
Pd  0.091  0.337  0.236 (multiplicity 4)
Pd  0.183  0.486  0.666 (multiplicity 4)
Pd  0.225  0.634  0.083 (multiplicity 4)



In μB per atom, the size of the total moment values for the records above are, in order, 0.000 0.000 0.000 0.000 0.000 0.000 0.000 0.000.